Material: InFeCo2
Method: DFT, PBE-GGA
State: optimized geometry

Unit cell a=4.547 b=4.547 c=4.577 alpha=73.76 beta=73.76 gamma=37.48
Each line ends with the local moment (μB).
Fractional coordinates of all 4 atoms:
Fe: 0.750 0.750 0.750  2.59
Co: 0.482 0.482 0.541  1.52
In: 0.250 0.250 0.250  -0.08
Co: 0.018 0.018 0.959  1.52

Total energy: -6.153 eV per atom
Space-group type: C2/m
M_tot: 1.370 μB per atom
DFT formation energy: 0.200 eV per atom
N(E_F): 0.81 states/eV/atom